<P>
This record from Alexandria via LeMat-Bulk describes an optimized crystal structure of LaNdCuRu. The functional is PBE-GGA.

```
LaNdCuRu
1.0
4.2424 0.0000 0.0000
0.0000 2.0269 5.5220
0.0000 -2.0269 5.5220
La Nd Cu Ru
1 1 1 1
Direct
0.0000 0.0000 0.0000
0.5000 0.7240 0.7240
0.0000 0.2918 0.2918
0.5000 0.4392 0.4392
```

As for the space group: Amm2, No. 38.

<Q>
This record from Alexandria via LeMat-Bulk describes an optimized crystal structure of LaNdCuRu. The functional is PBE-GGA.

```
LaNdCuRu
1.0
0.0000 3.5728 3.5728
3.5728 0.0000 3.5728
3.5728 3.5728 0.0000
La Nd Cu Ru
1 1 1 1
Direct
0.0000 0.0000 0.0000
0.5000 0.5000 0.5000
0.7500 0.7500 0.7500
0.2500 0.2500 0.2500
```

As for the space group: F-43m, No. 216.

Name the least stable of them. <Q>.

<P>
This record from Alexandria via LeMat-Bulk describes an optimized crystal structure of LaNdZnCu. The functional is PBE-GGA.

```
LaNdZnCu
1.0
0.0000 3.6847 3.6847
3.6847 0.0000 3.6847
3.6847 3.6847 0.0000
La Nd Zn Cu
1 1 1 1
Direct
0.0000 0.0000 0.0000
0.5000 0.5000 0.5000
0.2500 0.2500 0.2500
0.7500 0.7500 0.7500
```

As for the space group: F-43m, No. 216.

<Q>
This record from Alexandria via LeMat-Bulk describes an optimized crystal structure of LaNdZnCu. The functional is PBE-GGA.

```
LaNdZnCu
1.0
3.6856 0.0000 0.0000
0.0000 3.6856 0.0000
0.0000 0.0000 7.3348
La Nd Zn Cu
1 1 1 1
Direct
0.0000 0.0000 0.0000
0.0000 0.0000 0.4868
0.5000 0.5000 0.7347
0.5000 0.5000 0.2550
```

As for the space group: P4mm, No. 99.

Name the least stable of them. <P>.

<P>
This record from Alexandria via LeMat-Bulk describes an optimized crystal structure of La4CuNi. The functional is PBE-GGA.

```
La4CuNi
1.0
4.5873 -7.3496 0.0000
4.5873 7.3496 0.0000
-4.4295 0.0000 5.4187
La Cu Ni
8 2 2
Direct
0.0328 0.6041 0.8206
0.2100 0.2891 0.7452
0.2891 0.2100 0.2452
0.3959 0.9672 0.6794
0.6041 0.0328 0.3206
0.7109 0.7900 0.7548
0.7900 0.7109 0.2548
0.9672 0.3959 0.1794
0.3783 0.6217 0.2500
0.6217 0.3783 0.7500
0.0877 0.9123 0.7500
0.9123 0.0877 0.2500
```

As for the space group: C2/c, No. 15.

<Q>
This record from Alexandria via LeMat-Bulk describes an optimized crystal structure of La4CuNi. The functional is PBE-GGA.

```
La4CuNi
1.0
0.0000 4.4384 4.4384
4.4384 0.0000 4.4384
4.4384 4.4384 0.0000
La Cu Ni
4 1 1
Direct
0.1243 0.1243 0.1243
0.1243 0.1243 0.6270
0.1243 0.6270 0.1243
0.6270 0.1243 0.1243
0.5000 0.5000 0.5000
0.7500 0.7500 0.7500
```

As for the space group: F-43m, No. 216.

Name the least stable of them. <Q>.

<P>
This record from Alexandria via LeMat-Bulk describes an optimized crystal structure of LaCuNi4. The functional is PBE-GGA.

```
LaCuNi4
1.0
1.9173 -7.4704 0.0000
1.9173 7.4704 0.0000
0.0000 0.0000 6.1433
La Cu Ni
2 2 8
Direct
0.1093 0.8907 0.7500
0.8907 0.1093 0.2500
0.2343 0.7657 0.2500
0.7657 0.2343 0.7500
0.0753 0.9247 0.2500
0.3337 0.6663 0.5625
0.3337 0.6663 0.9375
0.5000 0.5000 0.0000
0.5000 0.5000 0.5000
0.6663 0.3337 0.0625
0.6663 0.3337 0.4375
0.9247 0.0753 0.7500
```

As for the space group: Cmcm, No. 63.

<Q>
This record from Alexandria via LeMat-Bulk describes an optimized crystal structure of LaCuNi4. The functional is PBE-GGA.

```
LaCuNi4
1.0
0.0000 3.5099 3.5099
3.5099 0.0000 3.5099
3.5099 3.5099 0.0000
La Cu Ni
1 1 4
Direct
0.0000 0.0000 0.0000
0.7500 0.7500 0.7500
0.3764 0.3764 0.3764
0.3764 0.3764 0.8709
0.3764 0.8709 0.3764
0.8709 0.3764 0.3764
```

As for the space group: F-43m, No. 216.

Name the least stable of them. <P>.

<P>
This record from Alexandria via LeMat-Bulk describes an optimized crystal structure of LaCu2Ni2. The functional is PBE-GGA.

```
LaCu2Ni2
1.0
-2.0614 2.0614 4.8501
2.0614 -2.0614 4.8501
2.0614 2.0614 -4.8501
La Cu Ni
1 2 2
Direct
0.0000 0.0000 0.0000
0.3772 0.3772 0.0000
0.6228 0.6228 0.0000
0.2500 0.7500 0.5000
0.7500 0.2500 0.5000
```

As for the space group: I4/mmm, No. 139.

<Q>
This record from Alexandria via LeMat-Bulk describes an optimized crystal structure of LaCu2Ni2. The functional is PBE-GGA.

```
LaCu2Ni2
1.0
-1.9517 1.9517 5.3448
1.9517 -1.9517 5.3448
1.9517 1.9517 -5.3448
La Cu Ni
1 2 2
Direct
0.0000 0.0000 0.0000
0.2500 0.7500 0.5000
0.7500 0.2500 0.5000
0.3903 0.3903 0.0000
0.6097 0.6097 0.0000
```

As for the space group: I4/mmm, No. 139.

Name the least stable of them. <P>.

<P>
This record from Alexandria via LeMat-Bulk describes an optimized crystal structure of LaCu2Ni2. The functional is PBE-GGA.

```
LaCu2Ni2
1.0
-2.0065 2.0065 10.1970
2.0065 -2.0065 10.1970
2.0065 2.0065 -10.1970
La Cu Ni
2 4 4
Direct
0.1270 0.1270 0.0000
0.8730 0.8730 0.0000
0.0000 0.5000 0.5000
0.3166 0.3166 0.0000
0.5000 0.0000 0.5000
0.6834 0.6834 0.0000
0.2500 0.7500 0.5000
0.4340 0.4340 0.0000
0.5660 0.5660 0.0000
0.7500 0.2500 0.5000
```

As for the space group: I4/mmm, No. 139.

<Q>
This record from Alexandria via LeMat-Bulk describes an optimized crystal structure of LaCu2Ni2. The functional is PBE-GGA.

```
LaCu2Ni2
1.0
7.1914 0.0000 0.0000
0.0000 7.1914 0.0000
0.0000 0.0000 2.9043
La Cu Ni
2 4 4
Direct
0.0000 0.0000 0.0000
0.5000 0.5000 0.0000
0.1275 0.3725 0.5000
0.3725 0.8725 0.5000
0.6275 0.1275 0.5000
0.8725 0.6275 0.5000
0.1619 0.6619 0.0000
0.3381 0.1619 0.0000
0.6619 0.8381 0.0000
0.8381 0.3381 0.0000
```

As for the space group: P4/mbm, No. 127.

<R>
This record from Alexandria via LeMat-Bulk describes an optimized crystal structure of LaCu2Ni2. The functional is PBE-GGA.

```
LaCu2Ni2
1.0
7.2025 0.0000 0.0000
0.0000 7.2025 0.0000
0.0000 0.0000 2.9371
La Cu Ni
2 4 4
Direct
0.0000 0.0000 0.0000
0.5000 0.5000 0.0000
0.1216 0.3784 0.0000
0.3784 0.8784 0.0000
0.6216 0.1216 0.0000
0.8784 0.6216 0.0000
0.1676 0.6676 0.5000
0.3324 0.1676 0.5000
0.6676 0.8324 0.5000
0.8324 0.3324 0.5000
```

As for the space group: P4/mbm, No. 127.

Name the least stable of them. <R>.